1.
This record from the Alexandria database describes crystalline Ca2YHoTe4 at its relaxed geometry. The functional is GGA-PBE.

Structure (POSCAR):
```
Ca2YHoTe4
1.0
4.390 0.000 0.000
0.000 7.597 0.125
0.000 -2.663 7.287
Ca Y Ho Te
2 1 1 4
Cartesian
2.195 -1.331 3.643 Ca
0.000 2.467 3.706 Ca
0.000 0.000 0.000 Y
2.195 3.798 0.062 Ho
2.195 1.245 1.817 Te
2.195 3.689 5.595 Te
0.000 -0.090 5.539 Te
0.000 5.024 1.873 Te
```

Space group: P2/m (10)
Energy relative to the elements, uncorrected (eV per atom): -1.453
Magnetization (μB per formula unit): 0.0
Density of states at the Fermi level (states/eV/cell): 3.69
Crystal system: monoclinic

---

2.
This record from the Alexandria database describes crystalline Sr6AlAg at its relaxed geometry. The functional is GGA-PBE.

Structure (POSCAR):
```
Sr6AlAg
1.0
5.497 0.000 1.655
-0.499 5.474 1.656
-0.322 -0.354 11.027
Sr Al Ag
6 1 1
Cartesian
3.574 3.914 8.040 Sr
2.939 0.208 10.150 Sr
-0.059 2.945 10.150 Sr
1.737 4.912 4.188 Sr
1.101 1.206 6.297 Sr
4.734 2.175 4.187 Sr
2.499 2.737 1.656 Al
0.000 0.000 0.000 Ag
```

Space group: I4/mmm (139)
Formation energy from the elements (eV per atom): -0.088
Magnetization (μB per formula unit): 0.0
Density of states at the Fermi level (states/eV/cell): 8.20
Crystal system: tetragonal

---

3.
This record from the Alexandria database describes crystalline PmMg3Ga3 at its relaxed geometry. The functional is GGA-PBE.

Structure (POSCAR):
```
PmMg3Ga3
1.0
8.222 0.000 0.000
4.111 7.121 0.000
4.111 2.374 5.625
Pm Mg Ga
2 6 6
Cartesian
8.222 4.747 5.560 Pm
8.222 4.747 0.065 Pm
9.584 7.127 3.548 Mg
9.602 2.378 3.548 Mg
5.481 4.737 3.548 Mg
10.964 4.758 2.076 Mg
6.842 7.116 2.076 Mg
6.861 2.368 2.076 Mg
5.284 5.062 0.791 Ga
9.419 2.045 0.791 Ga
9.964 7.135 0.791 Ga
6.480 2.360 4.833 Ga
7.026 7.450 4.833 Ga
11.161 4.432 4.833 Ga
```

Space group: R-3 (148)
Formation energy from the elements (eV per atom): -0.145
Magnetization (μB per formula unit): 0.0
Density of states at the Fermi level (states/eV/cell): 6.99
Crystal system: trigonal
Energy relative to the lowest polymorph listed for this composition (eV/atom): 0.126

---

4.
This record from the Alexandria database describes crystalline BaNaSb2Pd at its relaxed geometry. The functional is GGA-PBE.

Structure (POSCAR):
```
BaNaSb2Pd
1.0
5.378 0.000 0.000
0.000 5.265 0.000
0.000 0.000 5.378
Sb Ba Pd Na
2 1 1 1
Cartesian
0.000 0.000 2.689 Sb
2.689 0.000 0.000 Sb
2.689 2.633 2.689 Ba
0.000 0.000 0.000 Pd
0.000 2.633 0.000 Na
```

Space group: P4/mmm (123)
Energy relative to the elements, uncorrected (eV per atom): -0.488
Magnetization (μB per formula unit): 0.0
Density of states at the Fermi level (states/eV/cell): 2.76
Crystal system: tetragonal

---

5.
This record from the Alexandria database describes crystalline RbPaPb2O8 at its relaxed geometry. The functional is GGA-PBE.

Structure (POSCAR):
```
RbPaPb2O8
1.0
6.529 0.487 0.000
-2.460 6.067 0.000
-2.035 -3.277 5.290
Rb Pa Pb O
1 1 2 8
Cartesian
0.000 0.000 0.000 Rb
-1.230 3.034 2.645 Pa
3.264 0.243 2.645 Pb
2.035 3.277 0.000 Pb
1.674 -0.787 1.837 O
0.333 2.698 1.140 O
0.236 -1.781 4.150 O
3.047 -1.639 3.453 O
3.736 3.855 1.140 O
4.855 1.273 1.837 O
3.482 2.126 3.453 O
-0.236 1.781 4.150 O
```

Space group: I-4m2 (119)
Energy relative to the elements, uncorrected (eV per atom): -1.280
Magnetization (μB per formula unit): 2.1
Density of states at the Fermi level (states/eV/cell): 0.55
Crystal system: tetragonal

---

6.
This record from the Alexandria database describes crystalline BaHfOs2 at its relaxed geometry. The functional is GGA-PBE.

Structure (POSCAR):
```
BaHfOs2
1.0
-2.913 -3.704 -1.292
-0.746 -3.713 3.088
-4.352 -0.551 2.152
Hf Os Ba
1 2 1
Cartesian
-4.006 -3.984 1.974 Hf
-2.003 -1.992 0.987 Os
-6.009 -5.976 2.961 Os
0.000 0.000 0.000 Ba
```

Space group: Fm-3m (225)
Formation energy from the elements (eV per atom): 0.785
Magnetization (μB per formula unit): 0.0
Density of states at the Fermi level (states/eV/cell): 3.14
Crystal system: cubic
Energy relative to the lowest polymorph listed for this composition (eV/atom): 0.046

---

7.
This record from the Alexandria database describes crystalline In3TeS3 at its relaxed geometry. The functional is GGA-PBE.

Structure (POSCAR):
```
In3TeS3
1.0
-3.561 -1.662 -5.626
0.955 -6.104 -2.986
-8.074 -6.514 2.849
In Te S
6 2 6
Cartesian
-2.192 -5.400 -2.668 In
-4.792 -4.652 -5.431 In
-2.923 -8.038 -5.399 In
-7.757 -6.242 -0.364 In
-5.887 -9.628 -0.333 In
-8.488 -8.880 -3.096 In
-0.870 -2.589 -2.870 Te
-9.810 -11.691 -2.894 Te
-6.155 -9.899 -2.878 S
-8.104 -6.344 -2.894 S
-5.374 -7.146 -0.006 S
-5.306 -7.134 -5.758 S
-2.576 -7.936 -2.870 S
-4.525 -4.381 -2.886 S
```

Space group: R-3 (148)
Energy relative to the elements, uncorrected (eV per atom): -0.378
Magnetization (μB per formula unit): 0.0
Density of states at the Fermi level (states/eV/cell): 2.69
Crystal system: trigonal

---

8.
This record from the Alexandria database describes crystalline LiReNi2 at its relaxed geometry. The functional is GGA-PBE.

Structure (POSCAR):
```
LiReNi2
1.0
2.559 0.000 0.000
0.000 3.701 0.000
0.000 0.000 5.204
Li Ni Re
1 2 1
Cartesian
1.280 1.850 3.903 Li
0.000 0.000 0.052 Ni
0.000 0.000 2.550 Ni
1.280 1.850 1.301 Re
```

Space group: Pmmm (47)
Formation energy from the elements (eV per atom): 0.087
Magnetization (μB per formula unit): 0.0
Density of states at the Fermi level (states/eV/cell): 4.26
Crystal system: orthorhombic
Energy relative to the lowest polymorph listed for this composition (eV/atom): 0.081

---

9.
This record from the Alexandria database describes crystalline TbPm2Er3 at its relaxed geometry. The functional is GGA-PBE.

Structure (POSCAR):
```
TbPm2Er3
1.0
-5.432 -1.040 -0.513
3.412 -5.862 5.817
-2.042 9.474 2.424
Tb Pm Er
2 4 6
Cartesian
-3.968 2.977 5.915 Tb
-0.094 -0.405 1.813 Tb
-4.455 7.488 1.936 Pm
0.394 -4.916 5.792 Pm
-2.599 -2.768 3.063 Pm
-1.463 5.341 4.664 Pm
-0.769 1.731 4.639 Er
-3.326 -0.536 6.234 Er
-3.895 4.239 2.588 Er
-0.166 -1.667 5.139 Er
-0.736 3.109 1.494 Er
-3.292 0.842 3.089 Er
```

Space group: C2/m (12)
Formation energy from the elements (eV per atom): 0.100
Magnetization (μB per formula unit): 0.0
Density of states at the Fermi level (states/eV/cell): 19.70
Crystal system: monoclinic
Energy relative to the lowest polymorph listed for this composition (eV/atom): 0.002

---

10.
This record from the Alexandria database describes crystalline KZnAg2 at its relaxed geometry. The functional is GGA-PBE.

Structure (POSCAR):
```
KZnAg2
1.0
3.970 0.000 0.000
0.000 2.970 -0.014
0.000 2.948 7.764
Ag K Zn
2 1 1
Cartesian
0.000 2.948 7.221 Ag
0.000 2.960 4.418 Ag
1.985 1.480 1.938 K
1.985 4.439 5.813 Zn
```

Space group: P2/m (10)
Formation energy from the elements (eV per atom): 0.111
Magnetization (μB per formula unit): 0.0
Density of states at the Fermi level (states/eV/cell): 1.10
Crystal system: monoclinic

---

11.
This record from the Alexandria database describes crystalline Dy12YTh5 at its relaxed geometry. The functional is GGA-PBE.

Structure (POSCAR):
```
Dy12YTh5
1.0
10.634 0.000 0.000
5.317 9.235 -0.676
0.000 -1.641 5.947
Dy Y Th
12 1 5
Cartesian
14.189 8.414 2.297 Dy
1.762 -0.820 2.975 Dy
12.362 7.594 5.271 Dy
3.589 0.000 0.001 Dy
7.076 6.135 -0.440 Dy
3.560 6.136 -0.441 Dy
12.391 1.458 5.713 Dy
8.876 1.459 5.712 Dy
7.073 2.256 2.752 Dy
12.391 5.339 2.519 Dy
3.560 2.255 2.752 Dy
8.878 5.338 2.520 Dy
0.000 0.000 0.000 Y
5.317 -0.821 2.974 Th
5.318 5.329 2.485 Th
10.633 2.266 2.786 Th
10.635 4.521 5.489 Th
5.317 3.073 -0.218 Th
```

Space group: C2/m (12)
Formation energy from the elements (eV per atom): 0.044
Magnetization (μB per formula unit): 0.0
Density of states at the Fermi level (states/eV/cell): 28.03
Crystal system: monoclinic